Computed, not measured: ScSb2ICl at its PBEsol-relaxed geometry at the SCAN level of DFT.

The structure belongs to space group P4/mmm (No. 123); the cell edges are 5.449, 5.449 and 5.384 Å and the angles 90.00°, 90.00° and 90.00°. The asymmetric unit holds Sc at (0.000, 0.000, 0.000), Sb at (0.000, 0.500, 0.000), I at (0.000, 0.000, 0.500) and Cl at (0.500, 0.500, 0.500).

The uncorrected formation energy comes out at -0.08 eV/atom. The total moment is 0.00 μB per cell.


Computed, not measured: BaNi3Bi at its PBEsol-relaxed geometry at the SCAN level of DFT.

The structure belongs to space group Pm-3m (No. 221); the cell edges are 4.845, 4.845 and 4.845 Å and the angles 90.00°, 90.00° and 90.00°. The asymmetric unit holds Ba at (0.000, 0.000, 0.000), Ni at (0.000, 0.000, 0.500) and Bi at (0.500, 0.500, 0.500).

The energy of formation from the pure elements is 822 kJ/mol of formula units. The total moment is 0.00 μB per cell.


Computed, not measured: AgAsBr2 at its PBEsol-relaxed geometry at the SCAN level of DFT.

The structure belongs to space group I-42d (No. 122); the cell edges are 4.996, 4.996 and 16.686 Å and the angles 90.00°, 90.00° and 90.00°. The asymmetric unit holds Ag at (0.000, 0.000, 0.000), As at (0.000, 0.000, 0.500) and Br at (0.240, 0.250, 0.625).

The uncorrected formation energy comes out at 0.23 eV/atom. The total moment is 0.00 μB per cell.